[1]
4
Lattice="-3.0266 -3.3743 0.7217 -4.2036 0.2583 -1.8250 -1.1834 -2.7964 -3.4419" Properties=species:S:1:pos:R:3 comment="NbTlZnCu, optimized geometry, DFT PBE" energy_ev_per_atom=-3.895 pbc="T T T"
Cu -6.3102 -4.4343 -3.4089
Nb -4.2068 -2.9562 -2.2726
Tl 0.0000 0.0000 0.0000
Zn -2.1034 -1.4781 -1.1363


[2]
3
Lattice="-2.8311 -0.9346 3.4287 -1.6581 3.3680 2.5596 -4.3890 1.1351 -0.3041" Properties=species:S:1:pos:R:3 comment="TmNbCu, optimized geometry, DFT PBE" e_form_mev_per_atom=1027 pbc="T T T"
Tm -6.6586 2.6764 4.2631
Cu -2.2195 0.8921 1.4210
Nb 0.0000 0.0000 0.0000


[3]
3
Lattice="-2.2081 2.8314 2.8414 -3.9535 1.9152 -1.2915 -3.9273 -1.3180 1.9507" Properties=species:S:1:pos:R:3 comment="TmNbCu, optimized geometry, DFT PBE" e_form_mev_per_atom=1232 pbc="T T T"
Nb -7.5667 2.5715 2.6255
Tm 0.0000 0.0000 0.0000
Cu -2.5222 0.8572 0.8752


[4]
4
Lattice="1.9542 1.0517 3.8771 2.5525 3.6543 0.2959 -1.4222 3.5352 2.3316" Properties=species:S:1:pos:R:3 comment="NbCuW2, optimized geometry, DFT PBE" e_form_mev_per_atom=273 pbc="T T T"
Cu 0.7711 2.0603 1.6261
Nb 1.5423 4.1206 3.2523
W 2.3134 6.1809 4.8784
W 0.0000 0.0000 0.0000


[5]
4
Lattice="4.2879 -1.3359 0.4319 1.0279 -4.3882 -0.2112 2.2270 -1.6260 -3.5713" Properties=species:S:1:pos:R:3 comment="Nb2CuW, optimized geometry, DFT PBE" e_form_mev_per_atom=305 pbc="T T T"
W 3.7714 -3.6751 -1.6753
Cu 1.8857 -1.8375 -0.8377
Nb 0.0000 0.0000 0.0000
Nb 5.6571 -5.5126 -2.5130


[6]
4
Lattice="0.0000 3.1480 3.1480 3.1480 0.0000 3.1480 3.1480 3.1480 0.0000" Properties=species:S:1:pos:R:3 comment="NbZnCuW, optimized geometry, DFT PBE" e_form_mev_per_atom=440 pbc="T T T"
Nb 3.1480 3.1480 3.1480
Cu 4.7219 4.7219 4.7219
Zn 0.0000 0.0000 0.0000
W 1.5740 1.5740 1.5740


[7]
3
Lattice="1.5496 -4.2733 -0.3401 -2.8708 -3.5095 0.4696 -1.1024 -2.5428 -3.6190" Properties=species:S:1:pos:R:3 comment="YNbCu, optimized geometry, DFT PBE" e_form_mev_per_atom=1056 pbc="T T T"
Nb -0.6059 -2.5814 -0.8724
Y -1.2118 -5.1628 -1.7447
Cu 0.0000 0.0000 0.0000


[8]
4
Lattice="-4.5966 0.4628 -1.8370 -3.3867 2.7103 2.4294 -1.5037 4.3552 -1.8678" Properties=species:S:1:pos:R:3 comment="Y2NbCu, optimized geometry, DFT PBE" e_form_mev_per_atom=460 pbc="T T T"
Cu -2.3717 1.8821 -0.3189
Y 0.0000 0.0000 0.0000
Y -7.1152 5.6462 -0.9566
Nb -4.7434 3.7642 -0.6378


[9]
3
Lattice="-3.7897 -2.6594 0.5149 -1.0386 -1.7919 4.1725 -3.6685 1.6084 2.3778" Properties=species:S:1:pos:R:3 comment="YNbCu, optimized geometry, DFT PBE" e_form_mev_per_atom=1293 pbc="T T T"
Y 0.0000 0.0000 0.0000
Cu -2.1242 -0.7107 1.7663
Nb -6.3726 -2.1321 5.2988


[10]
4
Lattice="2.5395 -3.6767 1.6177 -1.6885 -4.4223 -0.4198 2.0092 -3.0300 -3.0604" Properties=species:S:1:pos:R:3 comment="YNbZnCu, optimized geometry, DFT PBE" e_form_mev_per_atom=404 pbc="T T T"
Y 0.7150 -2.7822 -0.4656
Cu 2.1451 -8.3467 -1.3969
Nb 1.4301 -5.5645 -0.9313
Zn 0.0000 0.0000 0.0000


[11]
4
Lattice="2.4270 3.2171 2.5078 -2.2308 2.6635 3.2339 0.8051 -0.7101 4.6235" Properties=species:S:1:pos:R:3 comment="YNbZnCu, optimized geometry, DFT PBE" e_form_mev_per_atom=350 pbc="T T T"
Nb 0.2503 1.2926 2.5913
Zn 0.0000 0.0000 0.0000
Y 0.5006 2.5853 5.1826
Cu 0.7509 3.8779 7.7739


[12]
3
Lattice="0.0000 2.9908 2.9908 2.9908 0.0000 2.9908 2.9908 2.9908 0.0000" Properties=species:S:1:pos:R:3 comment="NbZnCu, optimized geometry, DFT PBE" e_form_mev_per_atom=703 pbc="T T T"
Cu 2.9908 2.9908 2.9908
Zn 0.0000 0.0000 0.0000
Nb 1.4954 1.4954 1.4954


[13]
3
Lattice="3.3315 -1.2014 2.0521 0.3572 0.8350 3.9910 -0.2696 -3.0160 2.7540" Properties=species:S:1:pos:R:3 comment="NbZnCu, optimized geometry, DFT PBE" e_form_mev_per_atom=234 pbc="T T T"
Nb 0.8548 -0.8456 2.1993
Cu 0.0000 0.0000 0.0000
Zn 2.5643 -2.5368 6.5978


[14]
8
Lattice="-6.3492 -1.1177 -2.0169 -5.0884 -3.5892 2.6184 -6.0064 1.7341 2.5584" Properties=species:S:1:pos:R:3 comment="Zr3Nb2Cu3, optimized geometry, DFT PBE" e_form_mev_per_atom=642 pbc="T T T"
Nb -14.0426 -2.3931 2.5437
Zr -6.1778 0.3082 0.2707
Cu -16.3228 -2.7816 2.9567
Cu -8.7220 -1.4864 1.5799
Zr -5.7188 -2.3534 0.3007
Cu -1.1213 -0.1911 0.2031
Zr -5.5474 -0.9275 2.5884
Nb -3.4015 -0.5797 0.6161


[15]
4
Lattice="-0.5572 -3.8600 -2.5299 -4.1440 -2.1010 -0.1526 -2.5256 0.1220 -3.9009" Properties=species:S:1:pos:R:3 comment="ZrNb2Cu, optimized geometry, DFT PBE" e_form_mev_per_atom=90 pbc="T T T"
Zr -3.6134 -2.9195 -3.2917
Cu -1.8067 -1.4598 -1.6459
Nb -5.4201 -4.3792 -4.9375
Nb 0.0000 0.0000 0.0000


[16]
6
Lattice="5.5646 -2.4137 1.5953 2.9410 2.0366 5.1515 0.4776 -3.7296 5.0197" Properties=species:S:1:pos:R:3 comment="Nd2Cu, optimized geometry, DFT PBE" e_form_mev_per_atom=748 pbc="T T T"
Nd 5.3757 -0.7019 4.8442
Cu 2.2458 -1.0267 2.9416
Nd 4.1440 -3.5850 4.7783
Cu 0.0000 0.0000 0.0000
Nd 5.6145 -2.5666 7.3540
Nd 2.8322 -1.3598 6.5564


[17]
14
Lattice="6.7223 3.8811 1.9581 -6.7223 3.8811 1.9581 0.0000 -7.7623 1.9581" Properties=species:S:1:pos:R:3 comment="Nd3Cu4, optimized geometry, DFT PBE" e_form_mev_per_atom=-124 pbc="T T T"
Cu 0.0000 0.0000 0.0000
Nd -1.7213 -1.9708 1.3495
Cu 1.0755 -3.2479 1.6520
Nd 1.7213 1.9708 4.5248
Cu 2.2750 2.5554 1.6520
Cu -1.0755 3.2479 4.2223
Cu -3.3505 0.6925 1.6520
Nd 0.8461 -2.4761 4.5248
Cu -2.2750 -2.5554 4.2223
Nd -0.8461 2.4761 1.3495
Nd 2.5674 -0.5053 1.3495
Nd -2.5674 0.5053 4.5248
Cu 0.0000 0.0000 2.9371
Cu 3.3505 -0.6926 4.2223


[18]
10
Lattice="-5.2771 1.5561 -4.6013 -2.1977 0.8273 -6.7769 -0.9687 -9.7982 1.9113" Properties=species:S:1:pos:R:3 comment="Nd3Cu2, optimized geometry, DFT PBE" e_form_mev_per_atom=-124 pbc="T T T"
Nd -4.5625 -0.1959 -6.3922
Cu -4.6579 -4.9635 -4.9301
Cu -3.7855 -2.4513 -4.5368
Cu -6.2428 -5.3712 -7.0367
Nd -6.9575 -2.9357 -8.8643
Nd -1.9548 -8.2583 -0.0003
Cu -2.2006 -2.0436 -2.4302
Nd -1.4859 -4.4791 -0.6026
Nd -3.8809 -7.2189 -3.0747
Nd -6.4886 0.8435 -9.4667


[19]
28
Lattice="-0.0298 4.6172 2.0840 -9.9339 -0.8309 1.6987 1.5075 -3.3931 7.1557" Properties=species:S:1:pos:R:3 comment="NdCu6, optimized geometry, DFT PBE" e_form_mev_per_atom=-134 pbc="T T T"
Nd -8.9591 1.8386 4.8542
Nd 0.5028 -1.4454 6.0842
Cu -3.7809 -2.3343 7.8440
Cu 0.4336 0.2820 8.4713
Cu -6.2805 -2.2467 7.6526
Cu -6.9250 -0.5410 4.0561
Cu -7.1865 -0.2662 6.4773
Cu -4.6754 2.7275 3.0944
Cu -2.1758 2.6399 3.2858
Cu -3.3736 1.7232 5.4156
Cu -5.8744 1.7536 5.1937
Cu -6.7900 1.5265 2.7028
Cu -1.6739 -3.4047 7.2436
Cu -2.5819 -1.3604 5.7447
Cu -7.2525 -0.1213 9.1361
Cu -7.2328 2.0007 7.4785
Cu 0.7161 1.4190 5.8792
Cu -5.0828 -1.3299 5.5228
Cu -1.5313 0.9343 6.8823
Cu -1.6663 -1.1333 8.2356
Cu -9.1724 -1.0257 5.0592
Cu -1.2235 -1.6075 3.4599
Cu -1.2038 0.5145 1.8023
Cu -8.8899 0.1112 2.4671
Cu -6.7824 3.7979 3.6948
Nd -3.9469 -0.0580 3.1384
Cu -1.2698 0.6595 4.4611
Nd -4.5094 0.4513 7.8000


[20]
6
Lattice="2.4783 -4.6289 0.0000 2.4783 4.6289 0.0000 0.0000 0.0000 4.0037" Properties=species:S:1:pos:R:3 comment="NdCu2Ni2Pd, optimized geometry, DFT PBE" e_form_mev_per_atom=-350 pbc="T T T"
Nd 0.0000 0.0000 0.0000
Pd 2.4783 0.0000 2.0019
Ni 1.2392 2.3144 2.0019
Cu 2.4783 1.6843 0.0000
Ni 1.2392 -2.3144 2.0019
Cu 2.4783 -1.6843 0.0000